# SrTlVO4, optimized geometry, DFT PBE+U
# offset from the most stable computed form: 44 meV/atom
# DFT total energy: -6.5544 eV/atom
# crystal system: monoclinic
data_SrTlVO4
_chemical_formula_sum 'Sr2 Tl2 V2 O8'
_symmetry_space_group_name_H-M 'P 1 21/m 1'
_symmetry_Int_Tables_number 11
_cell_length_a 6.4165
_cell_length_b 5.9948
_cell_length_c 7.6845
_cell_angle_alpha 90.00
_cell_angle_beta 102.98
_cell_angle_gamma 90.00
loop_
_symmetry_equiv_pos_as_xyz
'x,y,z'
'-x,-y,-z'
'-x,y+1/2,-z'
'x,-y+1/2,z'
loop_
_atom_site_label
_atom_site_type_symbol
_atom_site_fract_x
_atom_site_fract_y
_atom_site_fract_z
Sr1 Sr 0.2139 0.2500 0.0862
Tl1 Tl 0.2939 0.2500 0.6229
V1 V 0.2713 0.7500 0.8528
O1 O 0.0994 0.5185 0.8329
O2 O 0.4294 0.7500 0.6977
O3 O 0.4443 0.7500 0.0621